1.
# TbPrEr2S4 | the Alexandria database | PBE | relaxed
data_TbPrEr2S4
_chemical_formula_sum 'Tb1 Pr1 Er2 S4'
_symmetry_space_group_name_H-M 'P 1 2/m 1'
_symmetry_Int_Tables_number 10
_symmetry_space_group_name_Hall '-P 2y'
_cell_length_a 6.799
_cell_length_b 3.885
_cell_length_c 6.930
_cell_angle_alpha 90.00
_cell_angle_beta 108.74
_cell_angle_gamma 90.00
loop_
_atom_site_label
_atom_site_type_symbol
_atom_site_fract_x
_atom_site_fract_y
_atom_site_fract_z
_atom_site_occupancy
Tb1 Tb 0.000 0.000 0.000 1
Pr1 Pr 0.500 0.500 0.000 1
Er1 Er 0.000 0.500 0.500 1
Er2 Er 0.500 0.000 0.500 1
S1 S 0.237 0.000 0.733 1
S2 S 0.248 0.500 0.262 1
# **V**: 173.3 Å³ per cell
# **M_tot**: 0.0 μB per cell
# **Crystal system**: monoclinic
# **Total DFT energy (no corrections)**: -6.362 eV/atom

***

2.
# Tb4PrErS8 | the Alexandria database | PBE | relaxed
data_Tb4PrErS8
_chemical_formula_sum 'Tb12 Pr3 Er3 S24'
_symmetry_space_group_name_H-M 'R 3 m'
_symmetry_Int_Tables_number 160
_symmetry_space_group_name_Hall 'R 3 -2"'
_cell_length_a 8.1323
_cell_length_b 8.1323
_cell_length_c 19.8358
_cell_angle_alpha 90.00
_cell_angle_beta 90.00
_cell_angle_gamma 120.00
loop_
_atom_site_label
_atom_site_type_symbol
_atom_site_fract_x
_atom_site_fract_y
_atom_site_fract_z
_atom_site_occupancy
Tb1 Tb 0.0000 0.0000 0.0000 1
Tb2 Tb 0.0019 0.5010 0.8757 1
Pr1 Pr 0.0000 0.0000 0.7512 1
Er1 Er 0.0000 0.0000 0.3749 1
S1 S 0.0000 0.0000 0.1322 1
S2 S 0.0000 0.0000 0.6147 1
S3 S 0.0330 0.5165 0.1281 1
S4 S 0.1776 0.3551 0.9578 1
# **V**: 1136.1 Å³ per cell
# **M_tot**: 0.0 μB per cell
# **Crystal system**: trigonal
# **Total DFT energy (no corrections)**: -6.276 eV/atom

***

3.
# Tb3Pr2ErS6 | the Alexandria database | PBE | relaxed
data_Tb3Pr2ErS6
_chemical_formula_sum 'Tb6 Pr4 Er2 S12'
_symmetry_space_group_name_H-M 'C 1 2/m 1'
_symmetry_Int_Tables_number 12
_symmetry_space_group_name_Hall '-C 2y'
_cell_length_a 17.319
_cell_length_b 3.958
_cell_length_c 8.011
_cell_angle_alpha 90.00
_cell_angle_beta 103.40
_cell_angle_gamma 90.00
loop_
_atom_site_label
_atom_site_type_symbol
_atom_site_fract_x
_atom_site_fract_y
_atom_site_fract_z
_atom_site_occupancy
Tb1 Tb 0.000 0.000 0.000 1
Tb2 Tb 0.170 0.500 0.333 1
Pr1 Pr 0.168 0.500 0.836 1
Er1 Er 0.000 0.000 0.500 1
S1 S 0.004 0.500 0.257 1
S2 S 0.162 0.000 0.093 1
S3 S 0.164 0.000 0.571 1
# **V**: 534.2 Å³ per cell
# **M_tot**: 0.0 μB per cell
# **Crystal system**: monoclinic
# **Total DFT energy (no corrections)**: -6.397 eV/atom

***

4.
# TbPr2ErS5 | the Alexandria database | PBE | relaxed
data_TbPr2ErS5
_chemical_formula_sum 'Tb1 Pr2 Er1 S5'
_symmetry_space_group_name_H-M 'P 4/m m m'
_symmetry_Int_Tables_number 123
_symmetry_space_group_name_Hall '-P 4 2'
_cell_length_a 4.856
_cell_length_b 4.856
_cell_length_c 10.303
_cell_angle_alpha 90.00
_cell_angle_beta 90.00
_cell_angle_gamma 90.00
loop_
_atom_site_label
_atom_site_type_symbol
_atom_site_fract_x
_atom_site_fract_y
_atom_site_fract_z
_atom_site_occupancy
Tb1 Tb 0.000 0.000 0.000 1
Pr1 Pr 0.500 0.500 0.294 1
Er1 Er 0.000 0.000 0.500 1
S1 S 0.000 0.000 0.246 1
S2 S 0.000 0.500 0.500 1
S3 S 0.500 0.500 0.000 1
# **V**: 243.0 Å³ per cell
# **M_tot**: 0.0 μB per cell
# **Crystal system**: tetragonal
# **Total DFT energy (no corrections)**: -5.881 eV/atom

***

5.
# Tb4PrEr3S8 | the Alexandria database | PBE | relaxed
data_Tb4PrEr3S8
_chemical_formula_sum 'Tb12 Pr3 Er9 S24'
_symmetry_space_group_name_H-M 'R -3 m'
_symmetry_Int_Tables_number 166
_symmetry_space_group_name_Hall '-R 3 2"'
_cell_length_a 7.8644
_cell_length_b 7.8644
_cell_length_c 19.2205
_cell_angle_alpha 90.00
_cell_angle_beta 90.00
_cell_angle_gamma 120.00
loop_
_atom_site_label
_atom_site_type_symbol
_atom_site_fract_x
_atom_site_fract_y
_atom_site_fract_z
_atom_site_occupancy
Tb1 Tb 0.0000 0.0000 0.0000 1
Tb2 Tb 0.0000 0.5000 0.0000 1
Pr1 Pr 0.0000 0.0000 0.5000 1
Er1 Er 0.0000 0.5000 0.5000 1
S1 S 0.0000 0.0000 0.2478 1
S2 S 0.0103 0.5051 0.7497 1
# **V**: 1029.5 Å³ per cell
# **M_tot**: 0.0 μB per cell
# **Crystal system**: trigonal
# **Total DFT energy (no corrections)**: -6.354 eV/atom

***

6.
# Pr2ErTe2S2 | the Alexandria database | PBE | relaxed
data_Pr2ErTe2S2
_chemical_formula_sum 'Pr4 Er2 Te4 S4'
_symmetry_space_group_name_H-M 'I 4/m m m'
_symmetry_Int_Tables_number 139
_symmetry_space_group_name_Hall '-I 4 2'
_cell_length_a 5.033
_cell_length_b 5.033
_cell_length_c 16.214
_cell_angle_alpha 90.00
_cell_angle_beta 90.00
_cell_angle_gamma 90.00
loop_
_atom_site_label
_atom_site_type_symbol
_atom_site_fract_x
_atom_site_fract_y
_atom_site_fract_z
_atom_site_occupancy
Pr1 Pr 0.000 0.000 0.117 1
Er1 Er 0.000 0.000 0.500 1
Te1 Te 0.000 0.000 0.315 1
S1 S 0.000 0.500 0.000 1
# **V**: 410.6 Å³ per cell
# **M_tot**: 0.1 μB per cell
# **Crystal system**: tetragonal
# **Total DFT energy (no corrections)**: -5.629 eV/atom

***

7.
# PrErTeS | the Alexandria database | PBE | relaxed
data_PrErTeS
_chemical_formula_sum 'Pr3 Er3 Te3 S3'
_symmetry_space_group_name_H-M 'R 3 m'
_symmetry_Int_Tables_number 160
_symmetry_space_group_name_Hall 'R 3 -2"'
_cell_length_a 4.0229
_cell_length_b 4.0229
_cell_length_c 22.9138
_cell_angle_alpha 90.00
_cell_angle_beta 90.00
_cell_angle_gamma 120.00
loop_
_atom_site_label
_atom_site_type_symbol
_atom_site_fract_x
_atom_site_fract_y
_atom_site_fract_z
_atom_site_occupancy
Pr1 Pr 0.0000 0.0000 0.0000 1
Er1 Er 0.0000 0.0000 0.1545 1
Te1 Te 0.0000 0.0000 0.5715 1
S1 S 0.0000 0.0000 0.7517 1
# **V**: 321.1 Å³ per cell
# **M_tot**: 0.0 μB per cell
# **Crystal system**: trigonal
# **Total DFT energy (no corrections)**: -5.701 eV/atom

***

8.
# PrEr3Th4S8 | the Alexandria database | PBE | relaxed
data_PrEr3Th4S8
_chemical_formula_sum 'Pr3 Er9 Th12 S24'
_symmetry_space_group_name_H-M 'R -3 m'
_symmetry_Int_Tables_number 166
_symmetry_space_group_name_Hall '-R 3 2"'
_cell_length_a 7.8361
_cell_length_b 7.8361
_cell_length_c 20.1887
_cell_angle_alpha 90.00
_cell_angle_beta 90.00
_cell_angle_gamma 120.00
loop_
_atom_site_label
_atom_site_type_symbol
_atom_site_fract_x
_atom_site_fract_y
_atom_site_fract_z
_atom_site_occupancy
Pr1 Pr 0.0000 0.0000 0.0000 1
Er1 Er 0.0000 0.5000 0.0000 1
Th1 Th 0.0000 0.0000 0.5000 1
Th2 Th 0.0000 0.5000 0.5000 1
S1 S 0.0000 0.0000 0.2565 1
S2 S 0.0095 0.5048 0.2544 1
# **V**: 1073.6 Å³ per cell
# **M_tot**: 0.0 μB per cell
# **Crystal system**: trigonal
# **Total DFT energy (no corrections)**: -6.968 eV/atom

***

Which formula does entry 3 have?
Tb3Pr2ErS6

***

Among the records above, which one has the highest M_tot?
Pr2ErTe2S2

***

What is the formula in the seventh record?
PrErTeS

***

Repeat the fifth record exactly.
# Tb4PrEr3S8 | the Alexandria database | PBE | relaxed
data_Tb4PrEr3S8
_chemical_formula_sum 'Tb12 Pr3 Er9 S24'
_symmetry_space_group_name_H-M 'R -3 m'
_symmetry_Int_Tables_number 166
_symmetry_space_group_name_Hall '-R 3 2"'
_cell_length_a 7.8644
_cell_length_b 7.8644
_cell_length_c 19.2205
_cell_angle_alpha 90.00
_cell_angle_beta 90.00
_cell_angle_gamma 120.00
loop_
_atom_site_label
_atom_site_type_symbol
_atom_site_fract_x
_atom_site_fract_y
_atom_site_fract_z
_atom_site_occupancy
Tb1 Tb 0.0000 0.0000 0.0000 1
Tb2 Tb 0.0000 0.5000 0.0000 1
Pr1 Pr 0.0000 0.0000 0.5000 1
Er1 Er 0.0000 0.5000 0.5000 1
S1 S 0.0000 0.0000 0.2478 1
S2 S 0.0103 0.5051 0.7497 1
# **V**: 1029.5 Å³ per cell
# **M_tot**: 0.0 μB per cell
# **Crystal system**: trigonal
# **Total DFT energy (no corrections)**: -6.354 eV/atom